No. 1
A relaxed CaScTaCr2 crystal. Source: Alexandria, functional PBE.

* energy relative to the elements: 5.76 eV per formula unit

abc: 4.6490 4.6490 5.1871
angles: 90.00 90.00 90.00
Last column: nearest neighbours and their distance in Å.
Space group P4/mmm (No. 123)
Unique sites:
Ca: 0.0000 0.0000 0.0000  4 Sc 3.29, 8 Cr 3.48
Sc: 0.5000 0.5000 0.0000  2 Ta 2.59
Ta: 0.5000 0.5000 0.5000  4 Cr 2.32, 2 Sc 2.59
Cr: 0.0000 0.5000 0.5000  2 Ta 2.32

No. 2
A relaxed CaScTlCr2 crystal. Source: Alexandria, functional PBE.

* energy relative to the elements: 6.02 eV per formula unit

abc: 4.8615 4.8615 5.6455
angles: 90.00 90.00 90.00
Last column: nearest neighbours and their distance in Å.
Space group P4/mmm (No. 123)
Unique sites:
Ca: 0.0000 0.0000 0.0000  2 Sc 2.82
Sc: 0.0000 0.0000 0.5000  4 Cr 2.43
Tl: 0.5000 0.5000 0.0000  4 Ca 3.44, 8 Cr 3.73
Cr: 0.0000 0.5000 0.5000  2 Sc 2.43

No. 3
A relaxed CaSc2ZnCr crystal. Source: Alexandria, functional PBE.

* energy relative to the elements: 7.99 eV per formula unit

abc: 5.1580 5.1580 4.2664
angles: 90.00 90.00 90.00
Last column: nearest neighbours and their distance in Å.
Space group P4/mmm (No. 123)
Unique sites:
Ca: 0.0000 0.0000 0.0000  2 Cr 2.13
Sc: 0.0000 0.5000 0.0000  2 Ca 2.58
Zn: 0.5000 0.5000 0.5000  8 Sc 3.35, 4 Cr 3.65
Cr: 0.0000 0.0000 0.5000  2 Ca 2.13

No. 4
A relaxed CaZrScCr2 crystal. Source: Alexandria, functional PBE.

* energy relative to the elements: 7.52 eV per formula unit

abc: 4.5107 4.5107 5.0265
angles: 90.00 90.00 90.00
Last column: nearest neighbours and their distance in Å.
Space group P4/mmm (No. 123)
Unique sites:
Ca: 0.0000 0.0000 0.0000  2 Sc 2.51
Zr: 0.5000 0.5000 0.0000  4 Ca 3.19, 8 Cr 3.38
Sc: 0.0000 0.0000 0.5000  4 Cr 2.26, 2 Ca 2.51
Cr: 0.0000 0.5000 0.5000  2 Sc 2.26

No. 5
A relaxed CaCrSe2 crystal. Source: Alexandria, functional PBE.

* uncorrected formation energy: -913 meV/atom
* polymorph energy (0 for the lowest one): 143.0 meV/atom

abc: 3.6391 3.7351 13.2792
angles: 90.00 90.00 90.00
Last column: nearest neighbours and their distance in Å.
Space group Imm2 (No. 44)
Unique sites:
Ca: 0.0000 0.0000 0.0000  6 Se 2.90-3.02
Cr: 0.0000 0.5000 0.7504  6 Se 2.73-2.77
Se: 0.0000 0.0000 0.4037  2 Cr 2.73, 4 Ca 2.90
Se: 0.0000 0.5000 0.1790  4 Cr 2.77, 2 Ca 3.02

No. 6
A relaxed CaCrSe2 crystal. Source: Alexandria, functional PBE.

* uncorrected formation energy: -1056 meV/atom
* polymorph energy (0 for the lowest one): 0.0 meV/atom

abc: 4.0173 4.0173 5.6600
angles: 90.00 90.00 90.00
Last column: nearest neighbours and their distance in Å.
Space group P4/mmm (No. 123)
Unique sites:
Ca: 0.0000 0.0000 0.0000  6 Se 2.83-2.84
Cr: 0.5000 0.5000 0.5000  6 Se 2.83-2.84
Se: 0.0000 0.0000 0.5000  2 Ca 2.83, 4 Cr 2.84
Se: 0.5000 0.5000 0.0000  2 Cr 2.83, 4 Ca 2.84

Number 1: density of states at the Fermi level 2.022 states/eV/atom, density 5.48 g/cm³. Number 2: density of states at the Fermi level 0.740 states/eV/atom, density 4.90 g/cm³. Number 3: density of states at the Fermi level 1.813 states/eV/atom, density 3.62 g/cm³. Number 4: density of states at the Fermi level 1.536 states/eV/atom, density 4.55 g/cm³. Number 5: density of states at the Fermi level 0.337 states/eV/atom, density 4.60 g/cm³. Number 6: density of states at the Fermi level 0.249 states/eV/atom, density 4.54 g/cm³.